Entry 1:
Entry from the Alexandria database: a geometry-optimized ScMnAlNi structure (PBE).

The space group is F-43m (No. 216) and the conventional cell measures 6.183, 6.183 and 6.183 Å, with angles of 90.00, 90.00 and 90.00 degrees. The inequivalent atoms are Sc at (0.000, 0.000, 0.000), Mn at (0.250, 0.250, 0.750), Al at (0.000, 0.000, 0.500) and Ni at (0.250, 0.250, 0.250).

The energy of formation from the pure elements is -0.287 eV/atom. The calculation puts the total moment at 13.11 μB per cell.



Entry 2:
Entry from the Alexandria database: a geometry-optimized MnAl2NiSe structure (PBE).

The space group is P4/mmm (No. 123) and the conventional cell measures 4.630, 4.630 and 4.251 Å, with angles of 90.00, 90.00 and 90.00 degrees. The inequivalent atoms are Mn at (0.000, 0.000, 0.000), Al at (0.000, 0.500, 0.000), Ni at (0.000, 0.000, 0.500) and Se at (0.500, 0.500, 0.500).

The formation energy from raw total energies is 0.67 eV/atom. The calculation puts the total moment at 0.00 μB per cell.



Entry 3:
Entry from the Alexandria database: a geometry-optimized MnAlNi2Se structure (PBE).

The space group is P4/mmm (No. 123) and the conventional cell measures 4.317, 4.317 and 4.985 Å, with angles of 90.00, 90.00 and 90.00 degrees. The inequivalent atoms are Mn at (0.000, 0.000, 0.000), Al at (0.500, 0.500, 0.000), Ni at (0.000, 0.500, 0.500) and Se at (0.500, 0.500, 0.500).

The formation energy from raw total energies is 0.63 eV/atom. The calculation puts the total moment at 4.41 μB per cell.



Entry 4:
Entry from the Alexandria database: a geometry-optimized Sm2Mn2AlNi5 structure (PBE).

The space group is P4/mbm (No. 127) and the conventional cell measures 9.301, 9.301 and 3.602 Å, with angles of 90.00, 90.00 and 90.00 degrees. The inequivalent atoms are Sm at (0.181, 0.319, 0.000), Mn at (0.119, 0.619, 0.000), Al at (0.000, 0.000, 0.000), Ni at (0.000, 0.500, 0.500) and Ni at (0.055, 0.797, 0.500).

The energy of formation from the pure elements is -0.145 eV/atom. The calculation puts the total moment at 15.62 μB per cell.



Entry 5:
Entry from the Alexandria database: a geometry-optimized Sm2MnAl2Ni5 structure (PBE).

The space group is P4/mbm (No. 127) and the conventional cell measures 9.976, 9.976 and 3.168 Å, with angles of 90.00, 90.00 and 90.00 degrees. The inequivalent atoms are Sm at (0.175, 0.325, 0.000), Mn at (0.000, 0.000, 0.000), Al at (0.125, 0.625, 0.000), Ni at (0.000, 0.500, 0.500) and Ni at (0.052, 0.804, 0.500).

The energy of formation from the pure elements is -0.238 eV/atom. The calculation puts the total moment at 7.86 μB per cell.



Entry 6:
Entry from the Alexandria database: a geometry-optimized SrMnAlNi2 structure (PBE).

The space group is P4/mmm (No. 123) and the conventional cell measures 4.567, 4.567 and 5.318 Å, with angles of 90.00, 90.00 and 90.00 degrees. The inequivalent atoms are Sr at (0.000, 0.000, 0.000), Mn at (0.000, 0.000, 0.500), Al at (0.500, 0.500, 0.000) and Ni at (0.000, 0.500, 0.500).

The energy of formation from the pure elements is 0.921 eV/atom. The calculation puts the total moment at 4.37 μB per cell.



Entry 7:
Entry from the Alexandria database: a geometry-optimized Tb2MnAl2Ni5 structure (PBE).

The space group is P4/mbm (No. 127) and the conventional cell measures 9.804, 9.804 and 3.214 Å, with angles of 90.00, 90.00 and 90.00 degrees. The inequivalent atoms are Tb at (0.175, 0.325, 0.000), Mn at (0.000, 0.000, 0.000), Al at (0.125, 0.625, 0.000), Ni at (0.000, 0.500, 0.500) and Ni at (0.054, 0.803, 0.500).

The energy of formation from the pure elements is -0.283 eV/atom. The calculation puts the total moment at 7.74 μB per cell.



Entry 8:
Entry from the Alexandria database: a geometry-optimized MnAlTcNi structure (PBE).

The space group is F-43m (No. 216) and the conventional cell measures 5.912, 5.912 and 5.912 Å, with angles of 90.00, 90.00 and 90.00 degrees. The inequivalent atoms are Mn at (0.000, 0.000, 0.000), Al at (0.000, 0.000, 0.500), Tc at (0.250, 0.250, 0.750) and Ni at (0.250, 0.250, 0.250).

The energy of formation from the pure elements is -0.260 eV/atom. The calculation puts the total moment at 11.15 μB per cell.



Entry 9:
Entry from the Alexandria database: a geometry-optimized Ti2MnAl5Ni2 structure (PBE).

The space group is P4/mbm (No. 127) and the conventional cell measures 8.698, 8.698 and 3.832 Å, with angles of 90.00, 90.00 and 90.00 degrees. The inequivalent atoms are Ti at (0.179, 0.321, 0.000), Mn at (0.000, 0.000, 0.000), Al at (0.000, 0.500, 0.500), Al at (0.065, 0.794, 0.500) and Ni at (0.118, 0.618, 0.000).

The energy of formation from the pure elements is -0.425 eV/atom. The calculation puts the total moment at 6.53 μB per cell.



Entry 10:
Entry from the Alexandria database: a geometry-optimized TiMnAlNi structure (PBE).

The space group is P4mm (No. 99) and the conventional cell measures 2.989, 2.989 and 5.755 Å, with angles of 90.00, 90.00 and 90.00 degrees. The inequivalent atoms are Ti at (0.000, 0.000, 0.000), Mn at (0.500, 0.500, 0.232), Al at (0.000, 0.000, 0.481) and Ni at (0.500, 0.500, 0.728).

The energy of formation from the pure elements is -0.421 eV/atom. The calculation puts the total moment at 0.35 μB per cell.



Entry 11:
Entry from the Alexandria database: a geometry-optimized Tm2Mn2AlNi5 structure (PBE).

The space group is P4/mbm (No. 127) and the conventional cell measures 9.107, 9.107 and 3.579 Å, with angles of 90.00, 90.00 and 90.00 degrees. The inequivalent atoms are Tm at (0.178, 0.322, 0.000), Mn at (0.121, 0.621, 0.000), Al at (0.000, 0.000, 0.000), Ni at (0.000, 0.500, 0.500) and Ni at (0.058, 0.797, 0.500).

The energy of formation from the pure elements is -0.238 eV/atom. The calculation puts the total moment at 15.98 μB per cell.



Entry 12:
Entry from the Alexandria database: a geometry-optimized U2Mn3Al6Ni structure (PBE).

The space group is C2/m (No. 12) and the conventional cell measures 9.383, 6.911 and 6.007 Å, with angles of 90.00, 91.36 and 90.00 degrees. The inequivalent atoms are U at (0.143, 0.000, 0.311), Mn at (0.000, 0.000, 0.000), Mn at (0.250, 0.250, 0.500), Al at (0.087, 0.301, 0.821), Al at (0.216, 0.500, 0.192) and Ni at (0.000, 0.500, 0.500).

The energy of formation from the pure elements is -0.124 eV/atom. The calculation puts the total moment at 0.00 μB per cell.